No. 1
This record from Alexandria describes an optimized crystal structure of KSrMo2. The functional is PBE.

Cell and atoms, written as extended XYZ:
```
4
Lattice="-1.271 -1.720 -2.229 -1.353 -3.870 3.757 -6.625 3.421 1.138" Properties=species:S:1:pos:R:3 pbc="T T T"
K -6.280 -0.229 1.618
Mo -0.698 0.360 0.120
Mo -2.615 1.350 0.449
Sr -2.968 -1.940 1.048
```

Output
Offset from the most stable computed form: 1.92 eV/f.u.
Space-group type: Pmmm (47)
Energy relative to the elements: 1.190 eV/atom
Calculated total energy: -4.921 eV/atom
Calculated volume: 129.6 Å³ per cell



No. 2
This record from Alexandria describes an optimized crystal structure of K2SrMo. The functional is PBE.

Cell and atoms, written as extended XYZ:
```
4
Lattice="-3.664 -1.452 -0.569 -0.452 -0.404 3.936 -4.543 11.217 0.631" Properties=species:S:1:pos:R:3 pbc="T T T"
K -0.221 0.545 0.031
K -2.051 5.064 0.285
Mo -3.194 1.876 1.841
Sr -5.465 7.484 2.157
```

Output
Offset from the most stable computed form: 0.96 eV/f.u.
Space-group type: P4/mmm (123)
Energy relative to the elements: 1.219 eV/atom
Calculated total energy: -2.458 eV/atom
Calculated volume: 192.2 Å³ per cell



No. 3
This record from Alexandria describes an optimized crystal structure of K4SrMo. The functional is PBE.

Cell and atoms, written as extended XYZ:
```
6
Lattice="0.000 5.416 5.416 5.416 0.000 5.416 5.416 5.416 0.000" Properties=species:S:1:pos:R:3 pbc="T T T"
K 4.077 6.755 6.755
K 6.755 6.755 4.077
K 6.755 4.077 6.755
K 4.077 4.077 4.077
Sr 0.000 0.000 0.000
Mo 8.124 8.124 8.124
```

Output
Space-group type: F-43m (216)
Energy relative to the elements: 0.948 eV/atom
Calculated total energy: -1.869 eV/atom
Calculated volume: 317.7 Å³ per cell



No. 4
This record from Alexandria describes an optimized crystal structure of K2SrMo. The functional is PBE.

Cell and atoms, written as extended XYZ:
```
4
Lattice="-3.269 -5.155 -1.424 4.383 -1.590 -4.190 1.629 1.119 5.949" Properties=species:S:1:pos:R:3 pbc="T T T"
K 1.113 -6.743 -5.612
K 3.285 -1.923 -0.524
Mo 0.557 -3.377 -2.810
Sr -0.542 -3.703 0.860
```

Output
Offset from the most stable computed form: 0.49 eV/f.u.
Space-group type: Imm2 (44)
Energy relative to the elements: 1.100 eV/atom
Calculated total energy: -2.577 eV/atom
Calculated volume: 174.5 Å³ per cell



No. 5
This record from Alexandria describes an optimized crystal structure of KSrMo2. The functional is PBE.

Cell and atoms, written as extended XYZ:
```
4
Lattice="4.493 -0.007 0.019 3.236 3.117 0.019 0.791 0.318 9.477" Properties=species:S:1:pos:R:3 pbc="T T T"
K 2.216 0.892 1.729
Mo 0.953 0.383 8.541
Mo 6.272 2.524 7.827
Sr 4.131 1.663 5.651
```

Output
Offset from the most stable computed form: 0.76 eV/f.u.
Space-group type: Cm (8)
Energy relative to the elements: 0.899 eV/atom
Calculated total energy: -5.212 eV/atom
Calculated volume: 132.9 Å³ per cell



No. 6
This record from Alexandria describes an optimized crystal structure of KSrMo2. The functional is PBE.

Cell and atoms, written as extended XYZ:
```
4
Lattice="-0.420 -1.047 -3.185 0.807 -3.174 0.937 -9.279 -4.820 2.810" Properties=species:S:1:pos:R:3 pbc="T T T"
K -7.142 -6.688 1.350
Mo -0.022 -3.407 1.124
Mo -1.738 -2.337 -0.794
Sr -3.418 -3.781 1.694
```

Output
Offset from the most stable computed form: 0.00 eV/f.u.
Space-group type: Pm (6)
Energy relative to the elements: 0.709 eV/atom
Calculated total energy: -5.401 eV/atom
Calculated volume: 119.5 Å³ per cell